Entry 1:
Below is crystalline Ir2BrCl at its relaxed geometry, with properties calculated at the PBE-GGA level.

Results
Space group = C2/m
Calculated total energy = -4.245 eV/atom
Formation energy (no corrections) = 1066 meV/atom
Energy above the most stable polymorph in this dataset = 0.8553 eV per atom
Spin magnetization = 0.00 μB per atom

Cell lengths 4.4875, 4.4875, 5.2416 Å; angles 79.96, 79.96, 39.95 degrees
Last column: nearest neighbours and their distance in Å.
Element x y z (fractional)
Ir: 0.0082 0.0082 0.0040  3 Cl 2.61-2.78, 3 Br 2.70-2.76
Ir: 0.4918 0.4918 0.4960  3 Cl 2.61-2.78, 3 Br 2.70-2.76
Br: 0.7500 0.7500 0.7500  6 Ir 2.70-2.76
Cl: 0.2500 0.2500 0.2500  6 Ir 2.61-2.78

Entry 2:
Below is crystalline Ir2BrCl at its relaxed geometry, with properties calculated at the PBE-GGA level.

Results
Space group = Cmmm
Calculated total energy = -3.903 eV/atom
Formation energy (no corrections) = 1407 meV/atom
Energy above the most stable polymorph in this dataset = 1.1970 eV per atom
Spin magnetization = 0.00 μB per atom

Cell lengths 4.7203, 4.7203, 3.0269 Å; angles 90.00, 90.00, 100.32 degrees
Last column: nearest neighbours and their distance in Å.
Element x y z (fractional)
Ir: 0.0000 0.0000 0.0000  4 Br 2.80, 4 Cl 2.80, 4 Ir 3.02-3.03
Ir: 0.5000 0.5000 0.0000  4 Cl 2.80, 4 Br 2.80, 4 Ir 3.02-3.03
Br: 0.5000 0.0000 0.5000  8 Ir 2.80, 2 Cl 3.02, 2 Br 3.03
Cl: 0.0000 0.5000 0.5000  8 Ir 2.80, 2 Br 3.02, 2 Cl 3.03

Entry 3:
Below is crystalline Ir2BrCl at its relaxed geometry, with properties calculated at the PBE-GGA level.

Results
Space group = Pmmm
Calculated total energy = -4.319 eV/atom
Formation energy (no corrections) = 991 meV/atom
Energy above the most stable polymorph in this dataset = 0.7807 eV per atom
Spin magnetization = 0.00 μB per atom

Cell lengths 2.8867, 5.3933, 4.3563 Å; angles 90.00, 90.00, 90.00 degrees
Last column: nearest neighbours and their distance in Å.
Element x y z (fractional)
Ir: 0.0000 0.0000 0.0000  4 Br 2.61, 2 Ir 2.89
Ir: 0.5000 0.5000 0.0000  4 Cl 2.61, 2 Ir 2.89
Br: 0.5000 0.0000 0.5000  4 Ir 2.61, 2 Br 2.89
Cl: 0.0000 0.5000 0.5000  4 Ir 2.61, 2 Cl 2.89

Entry 4:
Below is crystalline IrBr2Cl6 at its relaxed geometry, with properties calculated at the PBE-GGA level.

Results
Space group = C2/c
Calculated total energy = -2.773 eV/atom
Formation energy (no corrections) = -186 meV/atom
Spin magnetization = 0.11 μB per atom

Cell lengths 6.6298, 9.7407, 9.7407 Å; angles 82.18, 89.26, 89.26 degrees
Last column: nearest neighbours and their distance in Å.
Element x y z (fractional)
Ir: 0.2500 0.9343 0.0657  6 Cl 2.27-2.42
Ir: 0.7500 0.0657 0.9343  6 Cl 2.27-2.42
Br: 0.1699 0.3553 0.3577  2 Cl 2.37-2.42
Br: 0.3301 0.6423 0.6447  2 Cl 2.37-2.42
Br: 0.8301 0.6447 0.6423  2 Cl 2.37-2.42
Br: 0.6699 0.3577 0.3553  2 Cl 2.37-2.42
Cl: 0.4174 0.2219 0.4919  2 Br 2.37-2.42
Cl: 0.0826 0.5081 0.7781  2 Br 2.37-2.42
Cl: 0.5826 0.7781 0.5081  2 Br 2.37-2.42
Cl: 0.9174 0.4919 0.2219  2 Br 2.37-2.42
Cl: 0.8884 0.0900 0.7177  1 Ir 2.27
Cl: 0.6116 0.2823 0.9100  1 Ir 2.27
Cl: 0.1116 0.9100 0.2823  1 Ir 2.27
Cl: 0.3884 0.7177 0.0900  1 Ir 2.27
Cl: 0.0616 0.1490 0.0145  2 Ir 2.41-2.42
Cl: 0.4384 0.9855 0.8510  2 Ir 2.41-2.42
Cl: 0.9384 0.8510 0.9855  2 Ir 2.41-2.42
Cl: 0.5616 0.0145 0.1490  2 Ir 2.41-2.42

Entry 5:
Below is crystalline IrBr2Cl5 at its relaxed geometry, with properties calculated at the PBE-GGA level.

Results
Space group = I4mm
Calculated total energy = -2.767 eV/atom
Formation energy (no corrections) = -87 meV/atom
Spin magnetization = 0.44 μB per atom

Cell lengths 5.1094, 7.6740, 7.6767 Å; angles 83.63, 70.57, 70.58 degrees
Last column: nearest neighbours and their distance in Å.
Element x y z (fractional)
Ir: 0.9634 0.0000 0.0000  4 Cl 2.27
Br: 0.7189 0.5000 0.5001  2 Br 2.55-2.56
Br: 0.2191 0.5000 0.5000  2 Br 2.55-2.56
Cl: 0.8074 0.9999 0.3141  1 Ir 2.27
Cl: 0.1214 0.6858 0.9999  1 Ir 2.27
Cl: 0.8072 0.3142 0.0001  1 Ir 2.27
Cl: 0.1212 0.0001 0.6858  1 Ir 2.27
Cl: 0.4644 0.0000 0.0000  2 Ir 2.55-2.56

Entry 6:
Below is crystalline Ir3BrCl at its relaxed geometry, with properties calculated at the PBE-GGA level.

Results
Space group = Pm-3m
Calculated total energy = -3.848 eV/atom
Formation energy (no corrections) = 2173 meV/atom
Energy above the most stable polymorph in this dataset = 0.2409 eV per atom
Spin magnetization = 0.51 μB per atom

Cell lengths 4.7186, 4.7186, 4.7186 Å; angles 90.00, 90.00, 90.00 degrees
Last column: nearest neighbours and their distance in Å.
Element x y z (fractional)
Ir: 0.0000 0.5000 0.0000  2 Br 2.36
Ir: 0.0000 0.0000 0.5000  2 Br 2.36
Ir: 0.5000 0.0000 0.0000  2 Br 2.36
Br: 0.0000 0.0000 0.0000  6 Ir 2.36
Cl: 0.5000 0.5000 0.5000  12 Ir 3.34

Entry 7:
Below is crystalline Ir3BrCl at its relaxed geometry, with properties calculated at the PBE-GGA level.

Results
Space group = Pm-3m
Calculated total energy = -4.089 eV/atom
Formation energy (no corrections) = 1932 meV/atom
Energy above the most stable polymorph in this dataset = 0.0000 eV per atom
Spin magnetization = 0.26 μB per atom

Cell lengths 4.5377, 4.5377, 4.5377 Å; angles 90.00, 90.00, 90.00 degrees
Last column: nearest neighbours and their distance in Å.
Element x y z (fractional)
Ir: 0.0000 0.5000 0.0000  2 Cl 2.27
Ir: 0.0000 0.0000 0.5000  2 Cl 2.27
Ir: 0.5000 0.0000 0.0000  2 Cl 2.27
Br: 0.5000 0.5000 0.5000  12 Ir 3.21
Cl: 0.0000 0.0000 0.0000  6 Ir 2.27

Entry 8:
Below is crystalline Ir2BrCl at its relaxed geometry, with properties calculated at the PBE-GGA level.

Results
Space group = Fm-3m
Calculated total energy = -3.912 eV/atom
Formation energy (no corrections) = 1398 meV/atom
Energy above the most stable polymorph in this dataset = 1.1879 eV per atom
Spin magnetization = 0.00 μB per atom

Cell lengths 4.5415, 4.5415, 4.5415 Å; angles 60.00, 60.00, 60.00 degrees
Last column: nearest neighbours and their distance in Å.
Element x y z (fractional)
Ir: 0.2500 0.2500 0.2500  4 Cl 2.78, 4 Br 2.78
Ir: 0.7500 0.7500 0.7500  4 Br 2.78, 4 Cl 2.78
Br: 0.5000 0.5000 0.5000  8 Ir 2.78
Cl: 0.0000 0.0000 0.0000  8 Ir 2.78

Entry 9:
Below is crystalline Ir2BrCl at its relaxed geometry, with properties calculated at the PBE-GGA level.

Results
Space group = Pmmm
Calculated total energy = -3.939 eV/atom
Formation energy (no corrections) = 1371 meV/atom
Energy above the most stable polymorph in this dataset = 1.1610 eV per atom
Spin magnetization = 0.00 μB per atom

Cell lengths 3.0562, 3.5105, 6.4167 Å; angles 90.00, 90.00, 90.00 degrees
Last column: nearest neighbours and their distance in Å.
Element x y z (fractional)
Ir: 0.0000 0.0000 0.0321  4 Br 2.71, 1 Ir 2.80, 4 Cl 2.95
Ir: 0.0000 0.0000 0.4679  4 Br 2.71, 1 Ir 2.80, 4 Cl 2.95
Br: 0.5000 0.5000 0.2500  8 Ir 2.71
Cl: 0.5000 0.5000 0.7500  8 Ir 2.95, 2 Cl 3.06, 2 Br 3.21

Entry 10:
Below is crystalline IrBrCl4 at its relaxed geometry, with properties calculated at the PBE-GGA level.

Results
Space group = F-43m
Calculated total energy = -1.607 eV/atom
Formation energy (no corrections) = 1380 meV/atom
Energy above the most stable polymorph in this dataset = 1.6558 eV per atom
Spin magnetization = 0.39 μB per atom

Cell lengths 5.7168, 5.7168, 5.7168 Å; angles 60.00, 60.00, 60.00 degrees
Last column: nearest neighbours and their distance in Å.
Element x y z (fractional)
Ir: 0.2500 0.2500 0.2500  12 Cl 3.35, 4 Br 3.50
Br: 0.0000 0.0000 0.0000  12 Cl 3.35, 4 Ir 3.50
Cl: 0.1264 0.6245 0.6245  6 Cl 2.85-2.87
Cl: 0.6245 0.6245 0.6245  6 Cl 2.85-2.87
Cl: 0.6245 0.1264 0.6245  6 Cl 2.85-2.87
Cl: 0.6245 0.6245 0.1264  6 Cl 2.85-2.87

Entry 11:
Below is crystalline Ir2BrCl at its relaxed geometry, with properties calculated at the PBE-GGA level.

Results
Space group = F-43m
Calculated total energy = -4.121 eV/atom
Formation energy (no corrections) = 1189 meV/atom
Energy above the most stable polymorph in this dataset = 0.9787 eV per atom
Spin magnetization = 0.00 μB per atom

Cell lengths 4.5839, 4.5840, 4.5840 Å; angles 119.99, 119.99, 90.03 degrees
Last column: nearest neighbours and their distance in Å.
Element x y z (fractional)
Ir: 0.0000 0.0000 0.0000  4 Ir 2.81, 4 Cl 2.81
Ir: 0.2500 0.7500 0.5000  4 Br 2.81, 4 Ir 2.81
Br: 0.5000 0.5000 0.0000  4 Cl 2.81, 4 Ir 2.81
Cl: 0.7500 0.2500 0.5000  4 Br 2.81, 4 Ir 2.81

Entry 12:
Below is crystalline Ir2BrCl2 at its relaxed geometry, with properties calculated at the PBE-GGA level.

Results
Space group = P4/mbm
Calculated total energy = -3.345 eV/atom
Formation energy (no corrections) = 1273 meV/atom
Energy above the most stable polymorph in this dataset = 0.4050 eV per atom
Spin magnetization = 0.25 μB per atom

Cell lengths 8.3844, 8.3844, 2.9580 Å; angles 90.00, 90.00, 90.00 degrees
Last column: nearest neighbours and their distance in Å.
Element x y z (fractional)
Ir: 0.2244 0.7244 0.5000  2 Cl 2.29
Ir: 0.7244 0.7756 0.5000  2 Cl 2.29
Ir: 0.7756 0.2756 0.5000  2 Cl 2.29
Ir: 0.2756 0.2244 0.5000  2 Cl 2.29
Br: 0.0000 0.0000 0.0000  2 Br 2.96, 4 Cl 3.30
Br: 0.5000 0.5000 0.0000  2 Br 2.96, 4 Cl 3.30
Cl: 0.3722 0.8722 0.0000  2 Ir 2.29
Cl: 0.8722 0.6278 0.0000  2 Ir 2.29
Cl: 0.6278 0.1278 0.0000  2 Ir 2.29
Cl: 0.1278 0.3722 0.0000  2 Ir 2.29